Entry 1:
AlGeIO2 | PBE | optimized geometry

abc: 3.8864 3.8864 5.5307
angles: 90.00 90.00 90.00
With the nearest neighbours (Å) after each atom.
Sites, in units of the cell vectors:
I1 0.0000 0.0000 0.5000  4 Ge 2.75, 2 Al 2.77
Ge1 0.5000 0.5000 0.5000  4 I 2.75
Al1 0.0000 0.0000 0.0000  4 O 1.94
O1 0.0000 0.5000 0.0000  2 Al 1.94
O2 0.5000 0.0000 0.0000  2 Al 1.94

Computed properties:
DOS at the Fermi energy in states/eV per cell: 2.8
Symmetry: P4/mmm (123)
M_tot in μB/f.u.: 0.01
Formation energy without anion corrections in meV/atom: -662
ΔE to the lowest computed polymorph in meV/atom: 0


Entry 2:
AlGeI2O | PBE | optimized geometry

abc: 5.9853 5.9853 3.7776
angles: 90.00 90.00 90.00
With the nearest neighbours (Å) after each atom.
Sites, in units of the cell vectors:
I1 0.0000 0.5000 0.0000  2 Ge 2.99
I2 0.5000 0.0000 0.0000  2 Ge 2.99
Ge1 0.0000 0.0000 0.0000  2 O 1.89
Al1 0.5000 0.5000 0.5000  8 I 3.54, 2 Al 3.78
O1 0.0000 0.0000 0.5000  2 Ge 1.89

Computed properties:
DOS at the Fermi energy in states/eV per cell: 1.2
Symmetry: P4/mmm (123)
M_tot in μB/f.u.: 0.00
Formation energy without anion corrections in meV/atom: -209
ΔE to the lowest computed polymorph in meV/atom: 398


Entry 3:
AlGePI2 | PBE | optimized geometry

abc: 5.6351 4.5729 5.6351
angles: 90.00 90.00 90.00
With the nearest neighbours (Å) after each atom.
Sites, in units of the cell vectors:
I1 0.0000 0.0000 0.5000  2 Al 2.82
I2 0.5000 0.0000 0.0000  2 Al 2.82
P1 0.0000 0.5000 0.0000  2 Al 2.29
Ge1 0.5000 0.5000 0.5000  8 I 3.63, 4 P 3.98
Al1 0.0000 0.0000 0.0000  2 P 2.29

Computed properties:
DOS at the Fermi energy in states/eV per cell: 3.8
Symmetry: P4/mmm (123)
M_tot in μB/f.u.: 0.01
Formation energy without anion corrections in meV/atom: 480


Entry 4:
PrAlGeI | PBE | optimized geometry

abc: 4.3496 4.3496 15.0670
angles: 81.70 81.70 60.00
With the nearest neighbours (Å) after each atom.
Sites, in units of the cell vectors:
Pr1 0.0754 0.0754 0.7738  3 Ge 3.08, 3 I 3.26, 3 Al 3.45
Pr2 0.9246 0.9246 0.2262  3 Ge 3.08, 3 I 3.26, 3 Al 3.45
Al1 0.6889 0.6889 0.9333  4 Ge 2.56-2.58
Al2 0.3111 0.3111 0.0667  4 Ge 2.56-2.58
Ge1 0.6314 0.6314 0.1058  4 Al 2.56-2.58
Ge2 0.3686 0.3686 0.8942  4 Al 2.56-2.58
I1 0.7886 0.7886 0.6343  3 Pr 3.26
I2 0.2114 0.2114 0.3657  3 Pr 3.26

Computed properties:
DOS at the Fermi energy in states/eV per cell: 4.7
Symmetry: R-3m (166)
M_tot in μB/f.u.: 0.00
Formation energy without anion corrections in meV/atom: -798